Entry 1:
Y2NpSb3, relaxed, DFT PBE; formation energy without anion corrections = -0.84 eV/atom
1.0
0.000 6.213 13.178
4.398 0.000 13.178
4.398 6.213 0.000
Y Np Sb
8 4 12
Direct
0.042 0.042 0.208 Y
0.125 0.125 0.625 Y
0.208 0.208 0.042 Y
0.375 0.375 0.875 Y
0.625 0.625 0.125 Y
0.792 0.792 0.958 Y
0.875 0.875 0.375 Y
0.958 0.958 0.792 Y
0.292 0.292 0.458 Np
0.458 0.458 0.292 Np
0.542 0.542 0.708 Np
0.708 0.708 0.542 Np
0.042 0.541 0.209 Sb
0.125 0.625 0.625 Sb
0.209 0.708 0.042 Sb
0.292 0.791 0.459 Sb
0.375 0.875 0.875 Sb
0.459 0.958 0.292 Sb
0.541 0.042 0.708 Sb
0.625 0.125 0.125 Sb
0.708 0.209 0.541 Sb
0.791 0.292 0.958 Sb
0.875 0.375 0.375 Sb
0.958 0.459 0.791 Sb

=====

Entry 2:
YNpSb, relaxed, DFT PBE; formation energy without anion corrections = -0.10 eV/atom
1.0
3.915 0.000 0.000
0.000 9.054 0.000
0.000 0.000 9.777
Y Np Sb
4 4 4
Direct
0.000 0.106 0.000 Y
0.000 0.264 0.344 Y
0.000 0.736 0.844 Y
0.000 0.894 0.500 Y
0.000 0.236 0.678 Np
0.000 0.495 0.091 Np
0.000 0.505 0.591 Np
0.000 0.764 0.178 Np
0.500 0.017 0.251 Sb
0.500 0.442 0.846 Sb
0.500 0.558 0.346 Sb
0.500 0.983 0.751 Sb

=====

Entry 3:
NpZn2Sb2, relaxed, DFT PBE; formation energy without anion corrections = -0.12 eV/atom
1.0
2.161 -11.689 0.000
2.161 11.689 0.000
0.000 0.000 4.335
Np Zn Sb
2 4 4
Direct
0.145 0.855 0.750 Np
0.855 0.145 0.250 Np
0.031 0.969 0.250 Zn
0.462 0.538 0.250 Zn
0.538 0.462 0.750 Zn
0.969 0.031 0.750 Zn
0.250 0.750 0.250 Sb
0.378 0.622 0.750 Sb
0.622 0.378 0.250 Sb
0.750 0.250 0.750 Sb

=====

Entry 4:
ZrNpSb2, relaxed, DFT PBE; ΔE to the lowest computed polymorph = 0.4899 eV/atom; formation energy without anion corrections = 0.15 eV/atom
1.0
1.610 0.929 11.303
-1.610 0.929 11.303
0.000 -1.859 11.303
Zr Np Sb
1 1 2
Direct
0.000 0.000 0.000 Zr
0.500 0.500 0.500 Np
0.088 0.088 0.088 Sb
0.912 0.912 0.912 Sb

=====

Entry 5:
Zr2NpSb, relaxed, DFT PBE; ΔE to the lowest computed polymorph = 0.0000 eV/atom; formation energy without anion corrections = -0.19 eV/atom
1.0
4.638 0.000 0.000
0.000 4.638 0.000
0.000 0.000 4.214
Zr Np Sb
2 1 1
Direct
0.000 0.500 0.000 Zr
0.500 0.000 0.000 Zr
0.000 0.000 0.500 Np
0.500 0.500 0.500 Sb

=====

Entry 6:
Zr2NpSb, relaxed, DFT PBE; ΔE to the lowest computed polymorph = 0.2561 eV/atom; formation energy without anion corrections = 0.07 eV/atom
1.0
1.686 0.974 9.675
-1.686 0.974 9.675
0.000 -1.947 9.675
Zr Np Sb
2 1 1
Direct
0.247 0.247 0.247 Zr
0.753 0.753 0.753 Zr
0.000 0.000 0.000 Np
0.500 0.500 0.500 Sb

=====

Entry 7:
ZrNpSb2, relaxed, DFT PBE; ΔE to the lowest computed polymorph = 0.0119 eV/atom; formation energy without anion corrections = -0.33 eV/atom
1.0
3.549 0.000 0.000
0.000 3.549 0.000
0.000 0.000 7.752
Zr Np Sb
1 1 2
Direct
0.000 0.000 0.000 Zr
0.000 0.000 0.500 Np
0.500 0.500 0.231 Sb
0.500 0.500 0.769 Sb

=====

Entry 8:
ZrNpSb3, relaxed, DFT PBE; formation energy without anion corrections = -0.37 eV/atom
1.0
13.188 0.000 0.000
0.000 6.248 0.000
0.000 0.000 6.377
Zr Np Sb
4 4 12
Direct
0.095 0.250 0.000 Zr
0.095 0.250 0.500 Zr
0.905 0.750 0.000 Zr
0.905 0.750 0.500 Zr
0.320 0.509 0.250 Np
0.320 0.991 0.750 Np
0.680 0.009 0.250 Np
0.680 0.491 0.750 Np
0.085 0.638 0.250 Sb
0.085 0.862 0.750 Sb
0.251 0.005 0.250 Sb
0.251 0.495 0.750 Sb
0.497 0.250 0.000 Sb
0.497 0.250 0.500 Sb
0.503 0.750 0.000 Sb
0.503 0.750 0.500 Sb
0.749 0.505 0.250 Sb
0.749 0.995 0.750 Sb
0.915 0.138 0.250 Sb
0.915 0.362 0.750 Sb

=====

Entry 9:
ZrNpSb2, relaxed, DFT PBE; ΔE to the lowest computed polymorph = 0.0482 eV/atom; formation energy without anion corrections = -0.29 eV/atom
1.0
5.479 0.000 0.000
0.000 5.479 0.000
0.000 0.000 3.243
Zr Np Sb
1 1 2
Direct
0.000 0.000 0.000 Zr
0.500 0.500 0.000 Np
0.000 0.500 0.500 Sb
0.500 0.000 0.500 Sb

=====

Entry 10:
ZrNpSb2, relaxed, DFT PBE; ΔE to the lowest computed polymorph = 0.0599 eV/atom; formation energy without anion corrections = -0.28 eV/atom
1.0
0.000 3.661 3.661
3.661 0.000 3.661
3.661 3.661 0.000
Zr Np Sb
1 1 2
Direct
0.000 0.000 0.000 Zr
0.500 0.500 0.500 Np
0.250 0.250 0.250 Sb
0.750 0.750 0.750 Sb

=====

Entry 11:
ZrNpSb2, relaxed, DFT PBE; ΔE to the lowest computed polymorph = 0.0000 eV/atom; formation energy without anion corrections = -0.34 eV/atom
1.0
2.077 1.199 7.405
-2.077 1.199 7.405
0.000 -2.398 7.405
Zr Np Sb
1 1 2
Direct
0.000 0.000 0.000 Zr
0.828 0.828 0.828 Np
0.252 0.252 0.252 Sb
0.410 0.410 0.410 Sb

=====

Entry 12:
Np4Sc, relaxed, DFT PBE; ΔE_f = 1636 meV/atom
1.0
5.238 0.000 0.000
0.000 5.238 0.000
0.000 0.000 5.238
Np Sc
4 1
Direct
0.000 0.000 0.000 Np
0.000 0.500 0.500 Np
0.500 0.000 0.500 Np
0.500 0.500 0.000 Np
0.500 0.500 0.500 Sc

=====

Entry 13:
Np2Sc, relaxed, DFT PBE; ΔE_f = 385 meV/atom
1.0
0.000 3.946 3.946
3.946 0.000 3.946
3.946 3.946 0.000
Np Sc
4 2
Direct
0.000 0.000 0.000 Np
0.000 0.000 0.500 Np
0.000 0.500 0.000 Np
0.500 0.000 0.000 Np
0.375 0.375 0.375 Sc
0.625 0.625 0.625 Sc

=====

Entry 14:
NpSc4, relaxed, DFT PBE; ΔE_f = 768 meV/atom
1.0
5.092 0.000 0.000
0.000 5.092 0.000
0.000 0.000 5.092
Np Sc
1 4
Direct
0.000 0.000 0.000 Np
0.000 0.000 0.500 Sc
0.000 0.500 0.000 Sc
0.500 0.000 0.000 Sc
0.500 0.500 0.500 Sc

=====

Entry 15:
NpSc2Se4, relaxed, DFT PBE; formation energy without anion corrections = -1.50 eV/atom
1.0
1.947 -6.388 0.000
1.947 6.388 0.000
0.000 0.000 13.258
Np Sc Se
2 4 8
Direct
0.118 0.882 0.750 Np
0.882 0.118 0.250 Np
0.368 0.632 0.564 Sc
0.368 0.632 0.936 Sc
0.632 0.368 0.064 Sc
0.632 0.368 0.436 Sc
0.000 0.000 0.000 Se
0.000 0.000 0.500 Se
0.271 0.729 0.119 Se
0.271 0.729 0.381 Se
0.449 0.551 0.750 Se
0.551 0.449 0.250 Se
0.729 0.271 0.619 Se
0.729 0.271 0.881 Se

=====

Entry 16:
Np2ScSe4, relaxed, DFT PBE; formation energy without anion corrections = -1.21 eV/atom
1.0
1.925 -6.732 0.000
1.925 6.732 0.000
0.000 0.000 13.792
Np Sc Se
4 2 8
Direct
0.136 0.864 0.572 Np
0.136 0.864 0.928 Np
0.864 0.136 0.072 Np
0.864 0.136 0.428 Np
0.376 0.624 0.750 Sc
0.624 0.376 0.250 Sc
0.023 0.977 0.750 Se
0.214 0.786 0.127 Se
0.214 0.786 0.373 Se
0.500 0.500 0.000 Se
0.500 0.500 0.500 Se
0.786 0.214 0.627 Se
0.786 0.214 0.873 Se
0.977 0.023 0.250 Se

=====

Entry 17:
Np2ScSe6, relaxed, DFT PBE; formation energy without anion corrections = -1.05 eV/atom
1.0
6.525 0.000 0.000
0.000 6.525 0.000
0.000 0.000 12.341
Np Sc Se
4 2 12
Direct
0.000 0.000 0.169 Np
0.000 0.000 0.831 Np
0.500 0.500 0.331 Np
0.500 0.500 0.669 Np
0.000 0.000 0.500 Sc
0.500 0.500 0.000 Sc
0.197 0.197 0.339 Se
0.197 0.197 0.661 Se
0.199 0.199 0.000 Se
0.301 0.699 0.500 Se
0.303 0.697 0.161 Se
0.303 0.697 0.839 Se
0.697 0.303 0.161 Se
0.697 0.303 0.839 Se
0.699 0.301 0.500 Se
0.801 0.801 0.000 Se
0.803 0.803 0.339 Se
0.803 0.803 0.661 Se

=====

Entry 18:
NpScSe3, relaxed, DFT PBE; ΔE to the lowest computed polymorph = 0.0000 eV/atom; formation energy without anion corrections = -1.39 eV/atom
1.0
7.558 0.000 0.000
0.000 4.008 0.000
0.000 0.000 15.256
Np Sc Se
4 4 12
Direct
0.142 0.250 0.202 Np
0.358 0.750 0.702 Np
0.642 0.250 0.298 Np
0.858 0.750 0.798 Np
0.230 0.750 0.458 Sc
0.270 0.250 0.958 Sc
0.730 0.750 0.042 Sc
0.770 0.250 0.542 Sc
0.012 0.250 0.396 Se
0.126 0.750 0.059 Se
0.147 0.250 0.785 Se
0.353 0.750 0.285 Se
0.374 0.250 0.559 Se
0.488 0.750 0.896 Se
0.512 0.250 0.104 Se
0.626 0.750 0.441 Se
0.647 0.250 0.715 Se
0.853 0.750 0.215 Se
0.874 0.250 0.941 Se
0.988 0.750 0.604 Se

=====

Entry 19:
Np3ScSe6, relaxed, DFT PBE; formation energy without anion corrections = -1.19 eV/atom
1.0
6.811 0.000 0.000
0.000 7.590 0.000
-6.271 0.000 10.147
Np Sc Se
6 2 12
Direct
0.000 0.000 0.000 Np
0.000 0.500 0.500 Np
0.308 0.114 0.762 Np
0.308 0.386 0.262 Np
0.692 0.614 0.738 Np
0.692 0.886 0.238 Np
0.500 0.000 0.500 Sc
0.500 0.500 0.000 Sc
0.104 0.050 0.262 Se
0.104 0.450 0.762 Se
0.251 0.675 0.079 Se
0.251 0.825 0.579 Se
0.410 0.186 0.069 Se
0.410 0.314 0.569 Se
0.590 0.686 0.431 Se
0.590 0.814 0.931 Se
0.749 0.175 0.421 Se
0.749 0.325 0.921 Se
0.896 0.550 0.238 Se
0.896 0.950 0.738 Se

=====

Entry 20:
NpScSe3, relaxed, DFT PBE; ΔE to the lowest computed polymorph = 0.0755 eV/atom; formation energy without anion corrections = -1.32 eV/atom
1.0
9.527 0.000 0.000
0.000 5.634 0.000
-6.600 0.000 9.080
Np Sc Se
4 4 12
Direct
0.227 0.192 0.364 Np
0.227 0.308 0.864 Np
0.773 0.692 0.136 Np
0.773 0.808 0.636 Np
0.235 0.749 0.618 Sc
0.235 0.751 0.118 Sc
0.765 0.249 0.882 Sc
0.765 0.251 0.382 Sc
0.126 0.250 0.064 Se
0.126 0.250 0.564 Se
0.164 0.689 0.332 Se
0.164 0.811 0.832 Se
0.500 0.002 0.346 Se
0.500 0.498 0.846 Se
0.500 0.502 0.154 Se
0.500 0.998 0.654 Se
0.836 0.189 0.168 Se
0.836 0.311 0.668 Se
0.874 0.750 0.436 Se
0.874 0.750 0.936 Se

=====

Entry 21:
TbNp2ScSe4, relaxed, DFT PBE; formation energy without anion corrections = -1.37 eV/atom
1.0
6.994 0.000 0.000
0.000 4.031 0.000
-2.321 0.000 6.644
Tb Np Sc Se
1 2 1 4
Direct
0.000 0.000 0.000 Tb
0.000 0.500 0.500 Np
0.500 0.000 0.500 Np
0.500 0.500 0.000 Sc
0.255 0.500 0.243 Se
0.262 0.000 0.762 Se
0.738 0.000 0.238 Se
0.745 0.500 0.757 Se